# HfCoSiHg

A relaxed structure of HfCoSiHg (PBE, OQMD via LeMat-Bulk).

The structure in CIF format:
```
data_HfCoSiHg
_chemical_formula_sum 'Hf1 Co1 Si1 Hg1'
_cell_length_a 4.5492
_cell_length_b 4.5492
_cell_length_c 4.5492
_cell_angle_alpha 60.00
_cell_angle_beta 60.00
_cell_angle_gamma 60.00
_space_group_name_H-M_alt 'P 1'
_space_group_IT_number 1
loop_
_space_group_symop_operation_xyz
'x,y,z'
loop_
_atom_site_label
_atom_site_type_symbol
_atom_site_fract_x
_atom_site_fract_y
_atom_site_fract_z
Hg1 Hg 0.2500 0.2500 0.2500
Si1 Si 0.0000 0.0000 0.0000
Co1 Co 0.7500 0.7500 0.7500
Hf1 Hf 0.5000 0.5000 0.5000
```

Properties
As for the energy above the lowest structure with this stoichiometry: 9.3 kJ/mol of atoms.

# HfCoSnHg

A relaxed structure of HfCoSnHg (PBE, OQMD via LeMat-Bulk).

The structure in CIF format:
```
data_HfCoSnHg
_chemical_formula_sum 'Hf1 Co1 Sn1 Hg1'
_cell_length_a 4.7398
_cell_length_b 4.7398
_cell_length_c 4.7398
_cell_angle_alpha 60.00
_cell_angle_beta 60.00
_cell_angle_gamma 60.00
_space_group_name_H-M_alt 'P 1'
_space_group_IT_number 1
loop_
_space_group_symop_operation_xyz
'x,y,z'
loop_
_atom_site_label
_atom_site_type_symbol
_atom_site_fract_x
_atom_site_fract_y
_atom_site_fract_z
Hg1 Hg 0.2500 0.2500 0.2500
Sn1 Sn 0.0000 0.0000 0.0000
Co1 Co 0.7500 0.7500 0.7500
Hf1 Hf 0.5000 0.5000 0.5000
```

Properties
As for the energy above the lowest structure with this stoichiometry: 0.0 kJ/mol of atoms.

# HfCoSnHg

A relaxed structure of HfCoSnHg (PBE, OQMD via LeMat-Bulk).

The structure in CIF format:
```
data_HfCoSnHg
_chemical_formula_sum 'Hf1 Co1 Sn1 Hg1'
_cell_length_a 4.7345
_cell_length_b 4.7345
_cell_length_c 4.7345
_cell_angle_alpha 60.00
_cell_angle_beta 60.00
_cell_angle_gamma 60.00
_space_group_name_H-M_alt 'P 1'
_space_group_IT_number 1
loop_
_space_group_symop_operation_xyz
'x,y,z'
loop_
_atom_site_label
_atom_site_type_symbol
_atom_site_fract_x
_atom_site_fract_y
_atom_site_fract_z
Co1 Co 0.7500 0.7500 0.7500
Sn1 Sn 0.0000 0.0000 0.0000
Hg1 Hg 0.5000 0.5000 0.5000
Hf1 Hf 0.2500 0.2500 0.2500
```

Properties
As for the energy above the lowest structure with this stoichiometry: 0.9 kJ/mol of atoms.

# HfTlCoHg

A relaxed structure of HfTlCoHg (PBE, OQMD via LeMat-Bulk).

The structure in CIF format:
```
data_HfTlCoHg
_chemical_formula_sum 'Hf1 Tl1 Co1 Hg1'
_cell_length_a 4.7263
_cell_length_b 4.7263
_cell_length_c 4.7263
_cell_angle_alpha 60.00
_cell_angle_beta 60.00
_cell_angle_gamma 60.00
_space_group_name_H-M_alt 'P 1'
_space_group_IT_number 1
loop_
_space_group_symop_operation_xyz
'x,y,z'
loop_
_atom_site_label
_atom_site_type_symbol
_atom_site_fract_x
_atom_site_fract_y
_atom_site_fract_z
Tl1 Tl 0.0000 0.0000 0.0000
Hf1 Hf 0.2500 0.2500 0.2500
Hg1 Hg 0.5000 0.5000 0.5000
Co1 Co 0.7500 0.7500 0.7500
```

Properties
As for the energy above the lowest structure with this stoichiometry: 0.0 kJ/mol of atoms.

Q: Which formula does entry 2 have?
A: HfCoSnHg